Compound: Dy2Ga3Cu6
Source: Alexandria
Functional: PBE
Structure: optimized geometry

Computed properties:
Crystal system   hexagonal
Energy   -4.1785 eV/atom

Lattice parameters (Å, degrees): 4.2082 7.0502 7.0502 120.00 90.00 90.00
Positions (direct):
Cu1 0.5000 0.7583 0.7583
Cu2 0.5000 0.2417 0.0000
Cu3 0.0000 0.0000 0.7971
Cu4 0.0000 0.2029 0.2029
Cu5 0.5000 0.0000 0.2417
Cu6 0.0000 0.7971 0.0000
Ga1 0.5000 0.5938 0.0000
Ga2 0.5000 0.0000 0.5938
Ga3 0.5000 0.4062 0.4062
Dy1 0.0000 0.6667 0.3333
Dy2 0.0000 0.3333 0.6667